10
Lattice="4.2343 0.0000 0.0000 0.0000 4.2343 0.0000 0.0000 0.0000 10.7020" Properties=species:S:1:pos:R:3 comment="Pr2TaGe3Ir4 (PBE, optimized geometry)" sg="No. 115" dft_energy_ev_per_atom=-7.812 total_magnetization_mub_per_fu=0.00 formation_energy_kj_per_mol_atoms=-71.52 pbc="T T T"
Pr 0.0000 2.1172 2.5763
Pr 2.1172 0.0000 8.1258
Ta 0.0000 0.0000 5.3510
Ge 0.0000 2.1172 9.3326
Ge 2.1172 0.0000 1.3694
Ge 2.1172 2.1172 5.3510
Ir 0.0000 0.0000 0.0000
Ir 0.0000 2.1172 6.8277
Ir 2.1172 0.0000 3.8744
Ir 2.1172 2.1172 0.0000

---

10
Lattice="4.2392 0.0000 0.0000 0.0000 4.2392 0.0000 0.0000 0.0000 10.7878" Properties=species:S:1:pos:R:3 comment="Pr2TaGe4Ir3 (PBE, optimized geometry)" sg="No. 115" dft_energy_ev_per_atom=-7.301 total_magnetization_mub_per_fu=0.00 formation_energy_kj_per_mol_atoms=-63.16 pbc="T T T"
Pr 0.0000 2.1196 2.5951
Pr 2.1196 0.0000 8.1926
Ta 0.0000 0.0000 5.3939
Ge 0.0000 0.0000 0.0000
Ge 0.0000 2.1196 6.9721
Ge 2.1196 0.0000 3.8156
Ge 2.1196 2.1196 0.0000
Ir 0.0000 2.1196 9.4679
Ir 2.1196 0.0000 1.3199
Ir 2.1196 2.1196 5.3939

---

16
Lattice="4.3879 2.5333 7.4276 -4.3879 2.5333 7.4276 0.0000 -5.0667 7.4276" Properties=species:S:1:pos:R:3 comment="Pr8Ge3Te4Ir (PBE, optimized geometry)" sg="No. 166" dft_energy_ev_per_atom=-5.735 total_magnetization_mub_per_fu=0.00 e_form_raw_ev_per_atom=-1.141 pbc="T T T"
Pr 0.0000 0.0000 5.4141
Pr -2.1580 -1.2459 12.7580
Pr 0.0000 -2.4919 9.5247
Pr -2.1580 1.2459 9.5247
Pr 2.1580 -1.2459 12.7580
Pr 0.0000 2.4919 12.7580
Pr 2.1580 1.2459 9.5247
Pr 0.0000 0.0000 16.8686
Ge -4.3879 0.0000 11.1413
Ge -2.1939 1.2667 3.7138
Ge 2.1939 1.2667 3.7138
Te 0.0000 0.0000 0.0000
Te -2.1939 -1.2667 7.4276
Te -2.1939 1.2667 14.8551
Te 0.0000 2.5333 7.4276
Ir 0.0000 0.0000 11.1414

---

10
Lattice="4.1949 0.0000 0.0000 0.0000 4.1949 0.0000 0.0000 0.0000 10.7377" Properties=species:S:1:pos:R:3 comment="Pr2TiGe3Ir4 (PBE, optimized geometry)" sg="No. 115" dft_energy_ev_per_atom=-7.481 total_magnetization_mub_per_fu=0.00 formation_energy_kj_per_mol_atoms=-77.76 pbc="T T T"
Pr 0.0000 2.0975 2.6178
Pr 2.0975 0.0000 8.1200
Ti 0.0000 0.0000 5.3689
Ge 0.0000 2.0975 9.3637
Ge 2.0975 0.0000 1.3740
Ge 2.0975 2.0975 5.3689
Ir 0.0000 0.0000 0.0000
Ir 0.0000 2.0975 6.8545
Ir 2.0975 0.0000 3.8832
Ir 2.0975 2.0975 0.0000

---

10
Lattice="4.2489 0.0000 0.0000 0.0000 4.2489 0.0000 0.0000 0.0000 10.6679" Properties=species:S:1:pos:R:3 comment="Pr2TiGe4Ir3 (PBE, optimized geometry)" sg="No. 115" dft_energy_ev_per_atom=-6.986 total_magnetization_mub_per_fu=0.00 formation_energy_kj_per_mol_atoms=-70.95 pbc="T T T"
Pr 0.0000 2.1245 2.5918
Pr 2.1245 0.0000 8.0761
Ti 0.0000 0.0000 5.3339
Ge 0.0000 0.0000 0.0000
Ge 0.0000 2.1245 6.8542
Ge 2.1245 0.0000 3.8137
Ge 2.1245 2.1245 0.0000
Ir 0.0000 2.1245 9.3583
Ir 2.1245 0.0000 1.3096
Ir 2.1245 2.1245 5.3339

---

10
Lattice="4.2756 0.0000 0.0000 0.0000 4.2756 0.0000 0.0000 0.0000 11.3192" Properties=species:S:1:pos:R:3 comment="Pr2UGe4Ir3 (PBE, optimized geometry)" sg="No. 115" dft_energy_ev_per_atom=-7.179 total_magnetization_mub_per_fu=2.00 formation_energy_kj_per_mol_atoms=-56.85 pbc="T T T"
Pr 0.0000 2.1378 2.6100
Pr 2.1378 0.0000 8.7092
U 0.0000 0.0000 5.6596
Ge 0.0000 0.0000 0.0000
Ge 0.0000 2.1378 7.5894
Ge 2.1378 0.0000 3.7298
Ge 2.1378 2.1378 0.0000
Ir 0.0000 2.1378 10.0347
Ir 2.1378 0.0000 1.2845
Ir 2.1378 2.1378 5.6596

---

10
Lattice="4.2705 0.0000 0.0000 0.0000 4.2705 0.0000 0.0000 0.0000 11.0080" Properties=species:S:1:pos:R:3 comment="Pr2UGe3Ir4 (PBE, optimized geometry)" sg="No. 115" dft_energy_ev_per_atom=-7.712 total_magnetization_mub_per_fu=1.93 formation_energy_kj_per_mol_atoms=-67.34 pbc="T T T"
Pr 0.0000 2.1352 2.5169
Pr 2.1352 0.0000 8.4911
U 0.0000 0.0000 5.5040
Ge 0.0000 2.1352 9.6495
Ge 2.1352 0.0000 1.3585
Ge 2.1352 2.1352 5.5040
Ir 0.0000 0.0000 0.0000
Ir 0.0000 2.1352 7.1446
Ir 2.1352 0.0000 3.8634
Ir 2.1352 2.1352 0.0000

---

4
Lattice="4.1622 0.0000 0.0000 0.0000 2.1130 5.4293 0.0000 -2.1130 5.4293" Properties=species:S:1:pos:R:3 comment="PrYGeIr (PBE, optimized geometry)" sg="No. 38" dft_energy_ev_per_atom=-6.961 total_magnetization_mub_per_fu=0.00 formation_energy_kj_per_mol_atoms=-75.29 pbc="T T T"
Pr 0.0000 0.0000 0.0000
Y 2.0811 0.0000 3.0521
Ge 2.0811 0.0000 6.2826
Ir 0.0000 0.0000 7.8669

---

5
Lattice="-2.0246 2.1218 5.4918 2.0246 -2.1218 5.4918 2.0246 2.1218 -5.4918" Properties=species:S:1:pos:R:3 comment="PrZn2GeIr (PBE, optimized geometry)" sg="No. 44" dft_energy_ev_per_atom=-4.610 total_magnetization_mub_per_fu=0.00 formation_energy_kj_per_mol_atoms=-43.29 pbc="T T T"
Pr 0.0000 0.0000 0.0000
Zn 0.0000 0.0000 6.8105
Zn 0.0000 2.1218 2.7841
Ge 0.0000 0.0000 4.2560
Ir 2.0246 0.0000 2.8020

---

10
Lattice="4.3186 0.0000 0.0000 0.0000 4.3186 0.0000 0.0000 0.0000 10.2538" Properties=species:S:1:pos:R:3 comment="Pr2ZnGe4Ir3 (PBE, optimized geometry)" sg="No. 115" dft_energy_ev_per_atom=-6.259 total_magnetization_mub_per_fu=0.00 formation_energy_kj_per_mol_atoms=-64.69 pbc="T T T"
Pr 0.0000 2.1593 2.4811
Pr 2.1593 0.0000 7.7727
Zn 0.0000 0.0000 5.1269
Ge 0.0000 0.0000 0.0000
Ge 0.0000 2.1593 6.5382
Ge 2.1593 0.0000 3.7157
Ge 2.1593 2.1593 0.0000
Ir 0.0000 2.1593 8.9940
Ir 2.1593 0.0000 1.2598
Ir 2.1593 2.1593 5.1269

---

10
Lattice="4.2513 0.0000 0.0000 0.0000 4.2513 0.0000 0.0000 0.0000 10.3807" Properties=species:S:1:pos:R:3 comment="Pr2ZnGe3Ir4 (PBE, optimized geometry)" sg="No. 115" dft_energy_ev_per_atom=-6.724 total_magnetization_mub_per_fu=0.00 formation_energy_kj_per_mol_atoms=-68.62 pbc="T T T"
Pr 0.0000 2.1257 2.5722
Pr 2.1257 0.0000 7.8085
Zn 2.1257 2.1257 0.0000
Ge 0.0000 0.0000 0.0000
Ge 0.0000 2.1257 6.5361
Ge 2.1257 0.0000 3.8446
Ir 0.0000 0.0000 5.1903
Ir 0.0000 2.1257 8.9976
Ir 2.1257 0.0000 1.3831
Ir 2.1257 2.1257 5.1903

---

10
Lattice="4.2118 0.0000 0.0000 0.0000 4.2118 0.0000 0.0000 0.0000 11.0249" Properties=species:S:1:pos:R:3 comment="Pr2ZrGe3Ir4 (PBE, optimized geometry)" sg="No. 115" dft_energy_ev_per_atom=-7.547 total_magnetization_mub_per_fu=0.00 formation_energy_kj_per_mol_atoms=-77.85 pbc="T T T"
Pr 0.0000 2.1059 2.5854
Pr 2.1059 0.0000 8.4395
Zr 0.0000 0.0000 5.5124
Ge 0.0000 2.1059 9.6519
Ge 2.1059 0.0000 1.3729
Ge 2.1059 2.1059 5.5124
Ir 0.0000 0.0000 0.0000
Ir 0.0000 2.1059 7.1527
Ir 2.1059 0.0000 3.8722
Ir 2.1059 2.1059 0.0000